--- w ---
DyHo6Th2 after structural relaxation. Source: the Alexandria database, functional PBE-GGA.

a b c (Å): 3.5536 3.5536 26.1703
angles (deg): 90.00 90.00 120.00
Closest atoms and distances in Å follow each position.
Space group P-6m2 (No. 187)
Unique sites:
Dy1 0.0000 0.0000 0.0000 (multiplicity 1)  6 Ho 3.51, 6 Dy 3.55
Ho1 0.0000 0.0000 0.2164 (multiplicity 2)  9 Ho 3.49-3.55, 3 Th 3.59
Ho2 0.0000 0.0000 0.4366 (multiplicity 2)  7 Ho 3.32-3.55, 3 Th 3.49
Ho3 0.3333 0.6667 0.1087 (multiplicity 2)  9 Ho 3.49-3.55, 3 Dy 3.51
Th1 0.3333 0.6667 0.3288 (multiplicity 2)  6 Ho 3.49-3.59, 6 Th 3.55

magnetic moment = 0.0 Bohr magnetons per cell


--- x ---
DyHo6Th2 after structural relaxation. Source: the Alexandria database, functional PBE-GGA.

a b c (Å): 14.0957 12.6722 6.7084
angles (deg): 90.00 105.77 90.00
Closest atoms and distances in Å follow each position.
Space group C2/c (No. 15)
Unique sites:
Dy1 0.0000 0.1369 0.2500 (multiplicity 4)  8 Ho 3.25-3.56
Ho1 0.0021 0.3525 0.5147 (multiplicity 8)  2 Ho 3.17-3.54, 1 Dy 3.25, 2 Th 3.31-3.49
Ho2 0.1151 0.0918 0.7854 (multiplicity 8)  3 Ho 3.15-3.44, 1 Dy 3.30, 2 Th 3.46-3.49
Ho3 0.2312 0.2124 0.2458 (multiplicity 8)  5 Ho 3.34-3.73, 1 Dy 3.40, 3 Th 3.41-3.59
Th1 0.1789 0.4779 0.3717 (multiplicity 8)  9 Ho 3.31-3.65, 2 Th 3.40

magnetic moment = 0.0 Bohr magnetons per cell


w is the most stable structure; the next one sits 114 meV per atom above it.


--- w ---
Dy4Ho7Th after structural relaxation. Source: the Alexandria database, functional PBE-GGA.

a b c (Å): 7.0648 7.9019 7.9025
angles (deg): 95.87 116.36 102.89
Closest atoms and distances in Å follow each position.
Space group P-1 (No. 2)
Unique sites:
Dy1 0.0049 0.1677 0.1704 (multiplicity 2)  8 Ho 3.50-3.58, 3 Dy 3.50-3.57, 1 Th 3.51
Dy2 0.2528 0.1701 0.6654 (multiplicity 2)  8 Ho 3.49-3.57, 1 Th 3.50, 3 Dy 3.50-3.58
Ho1 0.0000 0.5000 0.5000 (multiplicity 1)  6 Ho 3.52-3.57, 4 Dy 3.52, 2 Th 3.53
Ho2 0.2527 0.5000 0.0046 (multiplicity 2)  7 Ho 3.50-3.57, 4 Dy 3.50-3.57, 1 Th 3.51
Ho3 0.2531 0.8299 0.3352 (multiplicity 2)  5 Dy 3.49-3.58, 6 Ho 3.50-3.56, 1 Th 3.50
Ho4 0.4986 0.1678 0.1678 (multiplicity 2)  5 Dy 3.50-3.57, 6 Ho 3.51-3.56, 1 Th 3.51
Th1 0.5000 0.5000 0.5000 (multiplicity 1)  8 Ho 3.50-3.53, 4 Dy 3.50-3.51

magnetic moment = 0.0 Bohr magnetons per cell


--- x ---
Dy4Ho7Th after structural relaxation. Source: the Alexandria database, functional PBE-GGA.

a b c (Å): 12.0511 5.8893 12.5984
angles (deg): 90.00 118.49 90.00
Closest atoms and distances in Å follow each position.
Space group C2/m (No. 12)
Unique sites:
Dy1 0.0654 0.0000 0.3191 (multiplicity 4)  4 Ho 3.25-3.57
Dy2 0.1389 0.5000 0.7756 (multiplicity 4)  7 Ho 3.34-3.61, 2 Dy 3.65
Ho1 0.0000 0.0000 0.0000 (multiplicity 2)  2 Th 2.94, 2 Ho 3.10
Ho2 0.1323 0.5000 0.4990 (multiplicity 4)  4 Ho 3.20-3.54, 5 Dy 3.25-3.57
Ho3 0.2091 0.0000 0.9230 (multiplicity 4)  4 Ho 3.10-3.40, 1 Th 3.16, 4 Dy 3.26-3.37
Ho4 0.2365 0.0000 0.6764 (multiplicity 4)  4 Ho 3.27-3.54, 3 Dy 3.61-3.67
Th1 0.0000 0.5000 0.0000 (multiplicity 2)  4 Ho 2.94-3.16

magnetic moment = 0.0 Bohr magnetons per cell


w is the most stable structure; the next one sits 293 meV per atom above it.


--- w ---
Dy3Ho5Th3 after structural relaxation. Source: the Alexandria database, functional PBE-GGA.

a b c (Å): 11.1534 11.1534 3.4581
angles (deg): 90.00 90.00 120.00
Closest atoms and distances in Å follow each position.
Space group P-62m (No. 189)
Unique sites:
Dy1 0.0000 0.4098 0.0000 (multiplicity 3)  2 Th 3.24, 2 Ho 3.27, 2 Dy 3.46
Ho1 0.0000 0.6589 0.5000 (multiplicity 3)  2 Dy 3.27, 2 Th 3.30, 2 Ho 3.46
Ho2 0.3333 0.6667 0.5000 (multiplicity 2)  5 Ho 3.46-3.68, 6 Dy 3.79
Th1 0.0000 0.1641 0.5000 (multiplicity 3)  4 Th 3.17-3.46, 2 Dy 3.24, 2 Ho 3.30

magnetic moment = 0.0 Bohr magnetons per cell


--- x ---
Dy3Ho5Th3 after structural relaxation. Source: the Alexandria database, functional PBE-GGA.

a b c (Å): 3.5428 18.7203 10.7832
angles (deg): 90.00 90.00 90.00
Closest atoms and distances in Å follow each position.
Space group Amm2 (No. 38)
Unique sites:
Dy1 0.0000 0.0000 0.0000 (multiplicity 2)  2 Th 3.41, 6 Dy 3.46-3.54, 4 Ho 3.53
Dy2 0.5000 0.0865 0.7693 (multiplicity 4)  5 Dy 3.24-3.54, 4 Ho 3.32-3.45, 2 Th 3.38
Ho1 0.0000 0.0000 0.5393 (multiplicity 2)  2 Th 3.40, 4 Dy 3.45, 6 Ho 3.53-3.54
Ho2 0.5000 0.1609 0.0489 (multiplicity 4)  3 Dy 3.32-3.53, 3 Ho 3.40-3.54, 2 Th 3.49
Ho3 0.5000 0.1606 0.4899 (multiplicity 4)  1 Dy 3.32, 5 Ho 3.40-3.54, 2 Th 3.50
Th1 0.0000 0.2404 0.7693 (multiplicity 4)  2 Dy 3.38, 4 Ho 3.49-3.50, 2 Th 3.54
Th2 0.5000 0.0000 0.2698 (multiplicity 2)  2 Ho 3.40, 2 Dy 3.41, 2 Th 3.54

magnetic moment = 0.0 Bohr magnetons per cell


x is the most stable structure; the next one sits 253 meV per atom above it.


--- w ---
Dy7Ho2Th2 after structural relaxation. Source: the Alexandria database, functional PBE-GGA.

a b c (Å): 11.0939 11.4085 6.0923
angles (deg): 90.00 113.26 90.00
Closest atoms and distances in Å follow each position.
Space group C2/m (No. 12)
Unique sites:
Dy1 0.0000 0.0000 0.0000 (multiplicity 2)  6 Dy 3.25-3.48
Dy2 0.1743 0.2375 0.1724 (multiplicity 8)  3 Dy 3.18-3.32, 2 Ho 3.29-3.41
Dy3 0.2359 0.0000 0.5821 (multiplicity 4)  5 Dy 3.32-3.56, 3 Th 3.47-3.67, 2 Ho 3.50
Ho1 0.0000 0.2174 0.5000 (multiplicity 4)  6 Dy 3.29-3.50, 2 Th 3.66
Th1 0.0819 0.5000 0.8062 (multiplicity 4)  2 Th 3.45-3.50, 7 Dy 3.47-3.79, 2 Ho 3.66

magnetic moment = 0.0 Bohr magnetons per cell


--- x ---
Dy7Ho2Th2 after structural relaxation. Source: the Alexandria database, functional PBE-GGA.

a b c (Å): 11.2798 11.5051 5.9840
angles (deg): 90.00 113.45 90.00
Closest atoms and distances in Å follow each position.
Space group C2/m (No. 12)
Unique sites:
Dy1 0.0000 0.0000 0.0000 (multiplicity 2)  4 Dy 3.24, 2 Ho 3.46
Dy2 0.0889 0.5000 0.8053 (multiplicity 4)  3 Ho 3.38-3.68, 6 Dy 3.40-3.74, 2 Th 3.73
Dy3 0.1745 0.2333 0.1689 (multiplicity 8)  2 Dy 3.14-3.24, 2 Th 3.31-3.47, 1 Ho 3.38
Ho1 0.2344 0.0000 0.5876 (multiplicity 4)  8 Dy 3.38-3.68, 2 Th 3.48
Th1 0.0000 0.2115 0.5000 (multiplicity 4)  6 Dy 3.31-3.70, 2 Ho 3.48

magnetic moment = 0.0 Bohr magnetons per cell


w is the most stable structure; the next one sits 9 meV per atom above it.


--- w ---
DyHo6Th4 after structural relaxation. Source: the Alexandria database, functional PBE-GGA.

a b c (Å): 3.4178 5.8264 35.6461
angles (deg): 90.00 90.00 90.00
Closest atoms and distances in Å follow each position.
Space group Immm (No. 71)
Unique sites:
Dy1 0.0000 0.0000 0.0000 (multiplicity 2)  2 Dy 3.42, 8 Th 3.72, 4 Ho 3.81
Ho1 0.0000 0.5000 0.1312 (multiplicity 4)  7 Ho 3.42-3.62, 4 Th 3.43-3.55
Ho2 0.0000 0.5000 0.2329 (multiplicity 4)  7 Ho 3.42-3.62, 4 Th 3.43-3.48
Ho3 0.0000 0.5000 0.4043 (multiplicity 4)  6 Ho 3.42-3.61, 4 Th 3.45-3.52, 2 Dy 3.81
Th1 0.0000 0.0000 0.1820 (multiplicity 4)  2 Th 3.42, 8 Ho 3.43-3.52
Th2 0.0000 0.0000 0.4561 (multiplicity 4)  3 Th 3.13-3.42, 2 Ho 3.45

magnetic moment = 0.0 Bohr magnetons per cell


--- x ---
DyHo6Th4 after structural relaxation. Source: the Alexandria database, functional PBE-GGA.

a b c (Å): 7.8280 7.8280 12.9247
angles (deg): 90.00 90.00 90.00
Closest atoms and distances in Å follow each position.
Space group I-42m (No. 121)
Unique sites:
Dy1 0.0000 0.0000 0.0000 (multiplicity 2)  8 Ho 3.68-3.91, 4 Th 3.79
Ho1 0.0000 0.5000 0.0000 (multiplicity 4)  4 Th 3.06
Ho2 0.2451 0.2451 0.6823 (multiplicity 8)  4 Th 3.30-3.58, 2 Ho 3.64, 1 Dy 3.68
Th1 0.1683 0.1683 0.4263 (multiplicity 8)  4 Ho 3.06-3.42, 2 Th 3.25

magnetic moment = 0.0 Bohr magnetons per cell


w is the most stable structure; the next one sits 344 meV per atom above it.